Compound: Tb13Sm2
Source: the Alexandria database
Functional: PBE-GGA
Structure: relaxed

As for the uncorrected energy: -4.5959 eV/atom. Its space-group type is P-1, No. 2. As for the density of states at the Fermi level: 26.7 states/eV/f.u.

Cell lengths 6.6503, 8.7580, 9.0214 Å; angles 69.05, 83.55, 80.56 degrees
Positions (direct):
Tb: 0.0000 0.0000 0.0000
Tb: 0.0961 0.4234 0.6930
Tb: 0.1342 0.1969 0.2663
Tb: 0.2376 0.5762 0.9748
Tb: 0.3338 0.9993 0.6678
Tb: 0.4296 0.4226 0.3590
Tb: 0.4672 0.1968 0.9346
Tb: 0.5328 0.8032 0.0654
Tb: 0.5704 0.5774 0.6410
Tb: 0.6662 0.0007 0.3322
Tb: 0.7624 0.4238 0.0252
Tb: 0.8658 0.8031 0.7337
Tb: 0.9039 0.5766 0.3070
Sm: 0.1992 0.8043 0.3981
Sm: 0.8008 0.1957 0.6019



Compound: TbSm3
Source: the Alexandria database
Functional: PBE-GGA
Structure: relaxed

As for the uncorrected energy: -4.6751 eV/atom. Its space-group type is P6_3/mmc, No. 194. As for the density of states at the Fermi level: 7.1 states/eV/f.u.

Cell lengths 7.3257, 7.3257, 5.7953 Å; angles 90.00, 90.00, 120.00 degrees
Positions (direct):
Tb: 0.3333 0.6667 0.2500
Tb: 0.6667 0.3333 0.7500
Sm: 0.1669 0.3338 0.7500
Sm: 0.1669 0.8331 0.7500
Sm: 0.3338 0.1669 0.2500
Sm: 0.6662 0.8331 0.7500
Sm: 0.8331 0.1669 0.2500
Sm: 0.8331 0.6662 0.2500



Compound: TbSm3
Source: the Alexandria database
Functional: PBE-GGA
Structure: relaxed

As for the uncorrected energy: -4.6834 eV/atom. Its space-group type is P2/m, No. 10. As for the density of states at the Fermi level: 5.4 states/eV/f.u.

Cell lengths 3.6136, 7.2226, 5.1012 Å; angles 90.00, 90.10, 90.00 degrees
Positions (direct):
Tb: 0.0000 0.0000 0.0000
Sm: 0.0000 0.5000 0.0000
Sm: 0.5000 0.2485 0.5000
Sm: 0.5000 0.7515 0.5000



Compound: Tb5Sm
Source: the Alexandria database
Functional: PBE-GGA
Structure: relaxed

As for the uncorrected energy: -4.6296 eV/atom. Its space-group type is Cmmm, No. 65. As for the density of states at the Fermi level: 8.2 states/eV/f.u.

Cell lengths 5.0461, 15.1571, 5.0514 Å; angles 90.00, 90.00, 90.00 degrees
Positions (direct):
Tb: 0.0000 0.0000 0.0000
Tb: 0.0000 0.1672 0.5000
Tb: 0.0000 0.3331 0.0000
Tb: 0.0000 0.6669 0.0000
Tb: 0.0000 0.8328 0.5000
Tb: 0.5000 0.1669 0.0000
Tb: 0.5000 0.3328 0.5000
Tb: 0.5000 0.5000 0.0000
Tb: 0.5000 0.6672 0.5000
Tb: 0.5000 0.8331 0.0000
Sm: 0.0000 0.5000 0.5000
Sm: 0.5000 0.0000 0.5000



Compound: TbSm3
Source: the Alexandria database
Functional: PBE-GGA
Structure: relaxed

As for the uncorrected energy: -3.9991 eV/atom. Its space-group type is I4/mmm, No. 139. As for the density of states at the Fermi level: 7.5 states/eV/f.u.

Cell lengths 4.6176, 4.6176, 13.0633 Å; angles 90.00, 90.00, 90.00 degrees
Positions (direct):
Tb: 0.0000 0.0000 0.0000
Tb: 0.5000 0.5000 0.5000
Sm: 0.0000 0.0000 0.2526
Sm: 0.0000 0.0000 0.5000
Sm: 0.0000 0.0000 0.7474
Sm: 0.5000 0.5000 0.0000
Sm: 0.5000 0.5000 0.2474
Sm: 0.5000 0.5000 0.7526



Compound: Tb7Sm
Source: the Alexandria database
Functional: PBE-GGA
Structure: relaxed

As for the uncorrected energy: -4.6279 eV/atom. Its space-group type is Fm-3m, No. 225. As for the density of states at the Fermi level: 10.1 states/eV/f.u.

Cell lengths 7.1283, 7.1283, 7.1283 Å; angles 60.00, 60.00, 60.00 degrees
Positions (direct):
Tb: 0.0000 0.0000 0.0000
Tb: 0.0000 0.0000 0.5000
Tb: 0.0000 0.5000 0.0000
Tb: 0.0000 0.5000 0.5000
Tb: 0.5000 0.0000 0.0000
Tb: 0.5000 0.0000 0.5000
Tb: 0.5000 0.5000 0.0000
Sm: 0.5000 0.5000 0.5000



Compound: Tb5Sm7
Source: the Alexandria database
Functional: PBE-GGA
Structure: relaxed

As for the uncorrected energy: -4.5058 eV/atom. Its space-group type is C2/m, No. 12. As for the density of states at the Fermi level: 21.2 states/eV/f.u.

Cell lengths 5.6338, 5.6338, 14.7733 Å; angles 101.86, 101.86, 62.09 degrees
Positions (direct):
Tb: 0.0000 0.0000 0.0000
Tb: 0.1398 0.1398 0.4391
Tb: 0.3744 0.3744 0.2000
Tb: 0.6256 0.6256 0.8000
Tb: 0.8602 0.8602 0.5609
Sm: 0.0383 0.0383 0.2128
Sm: 0.2415 0.2415 0.6713
Sm: 0.3196 0.3196 0.9170
Sm: 0.5000 0.5000 0.5000
Sm: 0.6804 0.6804 0.0830
Sm: 0.7585 0.7585 0.3287
Sm: 0.9617 0.9617 0.7872



Compound: TbSm2
Source: the Alexandria database
Functional: PBE-GGA
Structure: relaxed

As for the uncorrected energy: -4.4267 eV/atom. Its space-group type is Fd-3m, No. 227. As for the density of states at the Fermi level: 4.9 states/eV/f.u.

Cell lengths 6.6388, 6.6388, 6.6388 Å; angles 60.00, 60.00, 60.00 degrees
Positions (direct):
Tb: 0.1250 0.1250 0.1250
Tb: 0.8750 0.8750 0.8750
Sm: 0.0000 0.5000 0.5000
Sm: 0.5000 0.0000 0.5000
Sm: 0.5000 0.5000 0.0000
Sm: 0.5000 0.5000 0.5000